# 1
{
  "formula": "Li2ZrCd",
  "functional": "PBE",
  "state": "relaxed",
  "e_tot_ev_per_cell": -12.954,
  "magmom_total_mub_per_fu": 0.00,
  "cell": [[-1.680, 3.688, 2.500], [-3.569, 0.461, -3.117], [0.742, -4.182, 2.153]],
  "species": ["Li", "Cd", "Li", "Zr"],
  "frac_coords": [[0.000, 0.000, 0.000], [0.750, 0.250, 0.500], [0.250, 0.750, 0.500], [0.500, 0.500, 0.000]]
}

***

# 2
{
  "formula": "Li2ZrCd",
  "functional": "PBE",
  "state": "relaxed",
  "e_tot_ev_per_cell": -13.111,
  "magmom_total_mub_per_fu": 0.00,
  "cell": [[-0.853, 4.333, 1.629], [-2.494, -0.857, 0.974], [1.268, -1.919, 5.770]],
  "species": ["Cd", "Li", "Li", "Zr"],
  "frac_coords": [[0.500, 0.816, 0.755], [0.000, 0.079, 0.005], [0.500, 0.152, 0.227], [0.000, 0.453, 0.513]]
}

***

# 3
{
  "formula": "LiZr2Cd5",
  "functional": "PBE",
  "state": "relaxed",
  "e_tot_ev_per_cell": -24.808,
  "magmom_total_mub_per_fu": 0.36,
  "cell": [[4.311, 0.000, -1.185], [-0.326, 4.298, -1.185], [0.142, 0.153, 8.950]],
  "species": ["Cd", "Cd", "Cd", "Cd", "Li", "Zr", "Cd", "Zr"],
  "frac_coords": [[0.880, 0.380, 0.760], [0.500, 0.500, 0.000], [0.620, 0.120, 0.240], [0.380, 0.880, 0.760], [0.000, 0.000, 0.000], [0.749, 0.749, 0.498], [0.120, 0.620, 0.240], [0.251, 0.251, 0.502]]
}

***

# 4
{
  "formula": "LiZr2Cd",
  "functional": "PBE",
  "state": "relaxed",
  "e_tot_ev_per_cell": -19.755,
  "magmom_total_mub_per_fu": 0.00,
  "cell": [[-3.859, 0.948, -2.178], [1.125, -1.249, -2.537], [-1.700, -6.023, 0.391]],
  "species": ["Cd", "Zr", "Li", "Zr"],
  "frac_coords": [[0.000, 0.677, 0.511], [0.500, 0.310, 0.252], [0.500, 0.571, 0.749], [0.000, 0.943, 0.988]]
}

***

# 5
{
  "formula": "LiZr2Cd8",
  "functional": "PBE",
  "state": "relaxed",
  "e_tot_ev_per_cell": -26.786,
  "magmom_total_mub_per_fu": 0.00,
  "cell": [[4.611, 0.000, -1.403], [-0.984, 5.692, -3.232], [0.041, 0.937, 8.412]],
  "species": ["Cd", "Li", "Cd", "Cd", "Cd", "Cd", "Cd", "Cd", "Zr", "Cd", "Zr"],
  "frac_coords": [[0.000, 0.285, 0.000], [0.500, 0.000, 0.000], [0.634, 0.409, 0.269], [0.836, 0.836, 0.672], [0.164, 0.164, 0.328], [0.634, 0.859, 0.269], [0.366, 0.591, 0.731], [0.000, 0.715, 0.000], [0.197, 0.697, 0.394], [0.366, 0.141, 0.731], [0.803, 0.303, 0.606]]
}

***

# 6
{
  "formula": "Li2Zr3Cd2",
  "functional": "PBE",
  "state": "relaxed",
  "e_tot_ev_per_cell": -31.950,
  "magmom_total_mub_per_fu": 0.00,
  "cell": [[-0.902, 2.609, -1.605], [-2.347, -1.621, -1.316], [-8.635, 2.580, 12.219]],
  "species": ["Li", "Cd", "Zr", "Li", "Zr", "Zr", "Cd"],
  "frac_coords": [[0.710, 0.500, 0.420], [0.850, 0.000, 0.700], [0.426, 0.500, 0.852], [0.290, 0.500, 0.580], [0.574, 0.500, 0.148], [0.000, 0.000, 0.000], [0.150, 0.000, 0.300]]
}

***

# 7
{
  "formula": "Li2ZrCd",
  "functional": "PBE",
  "state": "relaxed",
  "e_tot_ev_per_cell": -13.142,
  "magmom_total_mub_per_fu": 0.00,
  "cell": [[-2.815, 0.496, -0.613], [0.426, -0.854, 2.763], [1.107, 9.833, 2.867]],
  "species": ["Li", "Li", "Zr", "Cd"],
  "frac_coords": [[0.000, 0.000, 0.509], [0.000, 0.000, 0.991], [0.500, 0.500, 0.250], [0.500, 0.500, 0.750]]
}

***

# 8
{
  "formula": "Li2ZrCd",
  "functional": "PBE",
  "state": "relaxed",
  "e_tot_ev_per_cell": -12.680,
  "magmom_total_mub_per_fu": 0.00,
  "cell": [[-4.626, 0.488, -1.336], [-1.360, -0.173, 4.641], [0.275, 3.146, 0.198]],
  "species": ["Cd", "Li", "Li", "Zr"],
  "frac_coords": [[0.000, 0.500, 0.500], [0.500, 0.500, 0.000], [0.000, 0.000, 0.000], [0.500, 0.000, 0.500]]
}

***

# 9
{
  "formula": "LiZrCd",
  "functional": "PBE",
  "state": "relaxed",
  "e_tot_ev_per_cell": -11.313,
  "e_above_lowest_polymorph_mev_per_atom": 173,
  "magmom_total_mub_per_fu": 0.00,
  "cell": [[6.771, -0.043, 0.000], [5.421, 4.058, 0.000], [-6.096, -2.008, 2.159]],
  "species": ["Cd", "Zr", "Li"],
  "frac_coords": [[0.988, 0.988, 0.000], [0.666, 0.666, 0.000], [0.346, 0.346, 0.000]]
}

***

# 10
{
  "formula": "LiZr2Cd",
  "functional": "PBE",
  "state": "relaxed",
  "e_tot_ev_per_cell": -19.394,
  "magmom_total_mub_per_fu": 0.00,
  "cell": [[2.952, -0.203, 0.000], [-1.122, 2.738, 0.000], [0.000, 0.000, 11.094]],
  "species": ["Cd", "Zr", "Li", "Zr"],
  "frac_coords": [[0.500, 0.500, 0.250], [0.000, 0.000, 0.004], [0.500, 0.500, 0.750], [0.000, 0.000, 0.496]]
}

***

# 11
{
  "formula": "Li3ZrCd",
  "functional": "PBE",
  "state": "relaxed",
  "e_tot_ev_per_cell": -12.469,
  "e_above_lowest_polymorph_mev_per_atom": 0,
  "magmom_total_mub_per_fu": 1.00,
  "cell": [[4.716, 0.000, 0.000], [0.000, 4.716, 0.000], [0.000, 0.000, 4.716]],
  "species": ["Cd", "Zr", "Li", "Li", "Li"],
  "frac_coords": [[0.000, 0.000, 0.000], [0.500, 0.500, 0.500], [0.000, 0.000, 0.500], [0.000, 0.500, 0.000], [0.500, 0.000, 0.000]]
}

***

# 12
{
  "formula": "LiZr2Cd",
  "functional": "PBE",
  "state": "relaxed",
  "e_tot_ev_per_cell": -19.755,
  "magmom_total_mub_per_fu": 0.00,
  "cell": [[-2.838, 4.343, -1.969], [-3.831, 1.802, -3.589], [-4.821, 0.428, 2.282]],
  "species": ["Zr", "Li", "Zr", "Cd"],
  "frac_coords": [[0.995, 0.995, 0.957], [0.239, 0.239, 0.311], [0.752, 0.752, 0.797], [0.513, 0.513, 0.434]]
}

***

# 13
{
  "formula": "LiZrCd",
  "functional": "PBE",
  "state": "relaxed",
  "e_tot_ev_per_cell": -9.265,
  "e_above_lowest_polymorph_mev_per_atom": 856,
  "magmom_total_mub_per_fu": 0.00,
  "cell": [[4.716, 0.000, 0.000], [2.358, 4.084, 0.000], [2.358, 1.361, 3.851]],
  "species": ["Cd", "Li", "Zr"],
  "frac_coords": [[0.000, 0.000, 0.000], [0.500, 0.500, 0.500], [0.750, 0.750, 0.750]]
}

***

# 14
{
  "formula": "LiZrCd",
  "functional": "PBE",
  "state": "relaxed",
  "e_tot_ev_per_cell": -23.667,
  "e_above_lowest_polymorph_mev_per_atom": 0,
  "magmom_total_mub_per_fu": 0.00,
  "cell": [[-2.398, 0.057, -2.054], [-1.119, -2.684, 1.232], [-6.665, 6.435, 7.961]],
  "species": ["Li", "Cd", "Cd", "Zr", "Zr", "Li"],
  "frac_coords": [[0.500, 0.000, 0.073], [0.000, 0.500, 0.219], [0.500, 0.000, 0.781], [0.000, 0.500, 0.590], [0.500, 0.000, 0.410], [0.000, 0.500, 0.927]]
}

***

# 15
{
  "formula": "LiZr2Cd",
  "functional": "PBE",
  "state": "relaxed",
  "e_tot_ev_per_cell": -19.381,
  "magmom_total_mub_per_fu": 0.00,
  "cell": [[-0.101, 4.269, 3.337], [-3.539, 3.765, -1.634], [-0.355, -5.350, 0.788]],
  "species": ["Zr", "Cd", "Li", "Zr"],
  "frac_coords": [[0.250, 0.750, 0.500], [0.500, 0.500, 0.000], [0.750, 0.250, 0.500], [0.000, 0.000, 0.000]]
}